Record 1
# YHoScPd (PBE, optimized geometry)
data_YHoScPd
_chemical_formula_sum 'Y4 Ho4 Sc4 Pd4'
_symmetry_space_group_name_H-M 'F -4 3 m'
_symmetry_Int_Tables_number 216
_symmetry_space_group_name_Hall 'F -4 2 3'
_cell_length_a 7.288
_cell_length_b 7.288
_cell_length_c 7.288
_cell_angle_alpha 90.00
_cell_angle_beta 90.00
_cell_angle_gamma 90.00
loop_
_atom_site_label
_atom_site_fract_x
_atom_site_fract_y
_atom_site_fract_z
Y1 0.000 0.000 0.000
Ho1 0.000 0.000 0.500
Sc1 0.250 0.250 0.750
Pd1 0.250 0.250 0.250
# volume: 24.19 Å³/atom
# Fermi-level density of states: 4.5 states/eV/f.u.
# DFT total energy: -93.28 eV/cell


Record 2
# PrAl8Cu2 (PBE, optimized geometry)
data_PrAl8Cu2
_chemical_formula_sum 'Pr1 Al8 Cu2'
_symmetry_space_group_name_H-M 'P 4/m m m'
_symmetry_Int_Tables_number 123
_symmetry_space_group_name_Hall '-P 4 2'
_cell_length_a 5.654
_cell_length_b 5.654
_cell_length_c 8.053
_cell_angle_alpha 90.00
_cell_angle_beta 90.00
_cell_angle_gamma 90.00
loop_
_atom_site_label
_atom_site_fract_x
_atom_site_fract_y
_atom_site_fract_z
Pr1 0.000 0.000 0.000
Al1 0.249 0.249 0.317
Cu1 0.000 0.500 0.500
# volume: 23.41 Å³/atom
# Fermi-level density of states: 7.4 states/eV/f.u.
# DFT total energy: -41.06 eV/cell


Record 3
# Pr3Si2AgPd9 (PBE, optimized geometry)
data_Pr3Si2AgPd9
_chemical_formula_sum 'Pr3 Si2 Ag1 Pd9'
_symmetry_space_group_name_H-M 'P -3 m 1'
_symmetry_Int_Tables_number 164
_symmetry_space_group_name_Hall '-P 3 2"'
_cell_length_a 5.8201
_cell_length_b 5.8201
_cell_length_c 10.7203
_cell_angle_alpha 90.00
_cell_angle_beta 90.00
_cell_angle_gamma 120.00
loop_
_atom_site_label
_atom_site_fract_x
_atom_site_fract_y
_atom_site_fract_z
Pr1 0.0000 0.0000 0.0000
Pr2 0.3333 0.6667 0.6101
Si1 0.3333 0.6667 0.1571
Ag1 0.0000 0.0000 0.5000
Pd1 0.0000 0.5000 0.0000
Pd2 0.1615 0.3230 0.2989
# volume: 20.97 Å³/atom
# Fermi-level density of states: 3.9 states/eV/f.u.
# formation energy from raw total energies: -0.576 eV per atom


Record 4
# LiHS (PBE, optimized geometry)
data_LiHS
_chemical_formula_sum 'Li4 H4 S4'
_symmetry_space_group_name_H-M 'P m c 21'
_symmetry_Int_Tables_number 26
_symmetry_space_group_name_Hall 'P 2c -2'
_cell_length_a 6.185
_cell_length_b 3.948
_cell_length_c 7.895
_cell_angle_alpha 90.00
_cell_angle_beta 90.00
_cell_angle_gamma 90.00
loop_
_atom_site_label
_atom_site_fract_x
_atom_site_fract_y
_atom_site_fract_z
Li1 0.250 0.001 0.000
H1 0.000 0.374 0.250
H2 0.500 0.496 0.315
S1 0.000 0.032 0.249
S2 0.500 0.499 0.486
# volume: 16.06 Å³/atom
# Fermi-level density of states: 0.0 states/eV/f.u.
# energy relative to the lowest polymorph listed for this composition: 0 meV/atom


Record 5
# CoPHCl2 (PBE, optimized geometry)
data_CoPHCl2
_chemical_formula_sum 'Co1 P1 H1 Cl2'
_symmetry_space_group_name_H-M 'P 4/m m m'
_symmetry_Int_Tables_number 123
_symmetry_space_group_name_Hall '-P 4 2'
_cell_length_a 4.828
_cell_length_b 4.828
_cell_length_c 3.210
_cell_angle_alpha 90.00
_cell_angle_beta 90.00
_cell_angle_gamma 90.00
loop_
_atom_site_label
_atom_site_fract_x
_atom_site_fract_y
_atom_site_fract_z
Co1 0.000 0.000 0.000
P1 0.500 0.500 0.000
H1 0.500 0.500 0.500
Cl1 0.000 0.500 0.500
# volume: 14.96 Å³/atom
# Fermi-level density of states: 5.5 states/eV/f.u.
# energy relative to the lowest polymorph listed for this composition: 180 meV/atom


Record 6
# PmZnInPt3 (PBE, optimized geometry)
data_PmZnInPt3
_chemical_formula_sum 'Pm4 Zn4 In4 Pt12'
_symmetry_space_group_name_H-M 'C m c m'
_symmetry_Int_Tables_number 63
_symmetry_space_group_name_Hall '-C 2c 2'
_cell_length_a 5.698
_cell_length_b 17.183
_cell_length_c 5.610
_cell_angle_alpha 90.00
_cell_angle_beta 90.00
_cell_angle_gamma 90.00
loop_
_atom_site_label
_atom_site_fract_x
_atom_site_fract_y
_atom_site_fract_z
Pm1 0.000 0.209 0.250
Zn1 0.000 0.099 0.750
In1 0.000 0.398 0.750
Pt1 0.000 0.244 0.750
Pt2 0.240 0.000 0.000
# volume: 22.88 Å³/atom
# Fermi-level density of states: 3.1 states/eV/f.u.
# DFT total energy: -119.82 eV/cell


Record 7
# LaPm2Nd6Y (PBE, optimized geometry)
data_LaPm2Nd6Y
_chemical_formula_sum 'La4 Pm8 Nd24 Y4'
_symmetry_space_group_name_H-M 'C 1 2/c 1'
_symmetry_Int_Tables_number 15
_symmetry_space_group_name_Hall '-C 2yc'
_cell_length_a 9.251
_cell_length_b 15.574
_cell_length_c 9.934
_cell_angle_alpha 90.00
_cell_angle_beta 98.62
_cell_angle_gamma 90.00
loop_
_atom_site_label
_atom_site_fract_x
_atom_site_fract_y
_atom_site_fract_z
La1 0.000 0.095 0.250
Pm1 0.242 0.449 0.042
Nd1 0.063 0.318 0.445
Nd2 0.104 0.104 0.621
Nd3 0.201 0.274 0.816
Y1 0.000 0.476 0.750
# volume: 35.37 Å³/atom
# Fermi-level density of states: 15.6 states/eV/f.u.
# DFT total energy: -193.54 eV/cell


Record 8
# Ca2InPtAu6 (PBE, optimized geometry)
data_Ca2InPtAu6
_chemical_formula_sum 'Ca8 In4 Pt4 Au24'
_symmetry_space_group_name_H-M 'F m -3 m'
_symmetry_Int_Tables_number 225
_symmetry_space_group_name_Hall '-F 4 2 3'
_cell_length_a 10.305
_cell_length_b 10.305
_cell_length_c 10.305
_cell_angle_alpha 90.00
_cell_angle_beta 90.00
_cell_angle_gamma 90.00
loop_
_atom_site_label
_atom_site_fract_x
_atom_site_fract_y
_atom_site_fract_z
Ca1 0.250 0.250 0.250
In1 0.000 0.000 0.000
Pt1 0.000 0.000 0.500
Au1 0.000 0.000 0.252
# volume: 27.36 Å³/atom
# Fermi-level density of states: 3.6 states/eV/f.u.
# DFT total energy: -133.52 eV/cell


Record 9
# CaY2Co (PBE, optimized geometry)
data_CaY2Co
_chemical_formula_sum 'Ca2 Y4 Co2'
_symmetry_space_group_name_H-M 'I -4 m 2'
_symmetry_Int_Tables_number 119
_symmetry_space_group_name_Hall 'I -4 -2'
_cell_length_a 4.428
_cell_length_b 4.428
_cell_length_c 10.446
_cell_angle_alpha 90.00
_cell_angle_beta 90.00
_cell_angle_gamma 90.00
loop_
_atom_site_label
_atom_site_fract_x
_atom_site_fract_y
_atom_site_fract_z
Ca1 0.000 0.000 0.000
Y1 0.000 0.000 0.500
Y2 0.000 0.500 0.250
Co1 0.000 0.500 0.750
# volume: 25.60 Å³/atom
# Fermi-level density of states: 5.0 states/eV/f.u.
# energy relative to the lowest polymorph listed for this composition: 492 meV/atom


Record 10
# LiYAs2 (PBE, optimized geometry)
data_LiYAs2
_chemical_formula_sum 'Li2 Y2 As4'
_symmetry_space_group_name_H-M 'I m m m'
_symmetry_Int_Tables_number 71
_symmetry_space_group_name_Hall '-I 2 2'
_cell_length_a 4.673
_cell_length_b 5.679
_cell_length_c 6.249
_cell_angle_alpha 90.00
_cell_angle_beta 90.00
_cell_angle_gamma 90.00
loop_
_atom_site_label
_atom_site_fract_x
_atom_site_fract_y
_atom_site_fract_z
Li1 0.000 0.000 0.000
Y1 0.000 0.000 0.500
As1 0.000 0.500 0.291
# volume: 20.73 Å³/atom
# Fermi-level density of states: 1.5 states/eV/f.u.
# energy relative to the lowest polymorph listed for this composition: 60 meV/atom


Record 11
# AcThCo (PBE, optimized geometry)
data_AcThCo
_chemical_formula_sum 'Ac4 Th4 Co4'
_symmetry_space_group_name_H-M 'C m m e'
_symmetry_Int_Tables_number 67
_symmetry_space_group_name_Hall '-C 2a 2'
_cell_length_a 5.550
_cell_length_b 5.565
_cell_length_c 11.556
_cell_angle_alpha 90.00
_cell_angle_beta 90.00
_cell_angle_gamma 90.00
loop_
_atom_site_label
_atom_site_fract_x
_atom_site_fract_y
_atom_site_fract_z
Ac1 0.000 0.250 0.124
Th1 0.000 0.250 0.614
Co1 0.000 0.250 0.371
# volume: 29.74 Å³/atom
# Fermi-level density of states: 3.1 states/eV/f.u.
# energy relative to the lowest polymorph listed for this composition: 0 meV/atom


Record 12
# Na5Br4Cl (PBE, optimized geometry)
data_Na5Br4Cl
_chemical_formula_sum 'Na10 Br8 Cl2'
_symmetry_space_group_name_H-M 'I 4/m m m'
_symmetry_Int_Tables_number 139
_symmetry_space_group_name_Hall '-I 4 2'
_cell_length_a 4.218
_cell_length_b 4.218
_cell_length_c 29.827
_cell_angle_alpha 90.00
_cell_angle_beta 90.00
_cell_angle_gamma 90.00
loop_
_atom_site_label
_atom_site_fract_x
_atom_site_fract_y
_atom_site_fract_z
Na1 0.000 0.000 0.000
Na2 0.000 0.000 0.200
Na3 0.000 0.000 0.404
Br1 0.000 0.000 0.099
Br2 0.000 0.000 0.301
Cl1 0.000 0.000 0.500
# volume: 26.53 Å³/atom
# Fermi-level density of states: 0.0 states/eV/f.u.
# formation energy from raw total energies: -1.605 eV per atom


Record 13
# CeBeAu11 (PBE, optimized geometry)
data_CeBeAu11
_chemical_formula_sum 'Ce2 Be2 Au22'
_symmetry_space_group_name_H-M 'C 1 2/m 1'
_symmetry_Int_Tables_number 12
_symmetry_space_group_name_Hall '-C 2y'
_cell_length_a 5.530
_cell_length_b 13.643
_cell_length_c 6.888
_cell_angle_alpha 90.00
_cell_angle_beta 107.93
_cell_angle_gamma 90.00
loop_
_atom_site_label
_atom_site_fract_x
_atom_site_fract_y
_atom_site_fract_z
Ce1 0.000 0.000 0.000
Be1 0.000 0.500 0.500
Au1 0.000 0.000 0.500
Au2 0.067 0.398 0.231
Au3 0.144 0.173 0.351
Au4 0.250 0.250 0.000
# volume: 19.02 Å³/atom
# Fermi-level density of states: 11.2 states/eV/f.u.
# DFT total energy: -96.36 eV/cell


Record 14
# ReHS2Br (PBE, optimized geometry)
data_ReHS2Br
_chemical_formula_sum 'Re1 H1 S2 Br1'
_symmetry_space_group_name_H-M 'P 4/m m m'
_symmetry_Int_Tables_number 123
_symmetry_space_group_name_Hall '-P 4 2'
_cell_length_a 3.855
_cell_length_b 3.855
_cell_length_c 4.707
_cell_angle_alpha 90.00
_cell_angle_beta 90.00
_cell_angle_gamma 90.00
loop_
_atom_site_label
_atom_site_fract_x
_atom_site_fract_y
_atom_site_fract_z
Re1 0.000 0.000 0.000
H1 0.500 0.500 0.500
S1 0.000 0.500 0.500
Br1 0.500 0.500 0.000
# volume: 13.99 Å³/atom
# Fermi-level density of states: 3.6 states/eV/f.u.
# DFT total energy: -18.63 eV/cell


Record 15
# La2PuZrN5 (PBE, optimized geometry)
data_La2PuZrN5
_chemical_formula_sum 'La8 Pu4 Zr4 N20'
_symmetry_space_group_name_H-M 'C m c 21'
_symmetry_Int_Tables_number 36
_symmetry_space_group_name_Hall 'C 2c -2'
_cell_length_a 3.521
_cell_length_b 14.249
_cell_length_c 11.078
_cell_angle_alpha 90.00
_cell_angle_beta 90.00
_cell_angle_gamma 90.00
loop_
_atom_site_label
_atom_site_fract_x
_atom_site_fract_y
_atom_site_fract_z
La1 0.000 0.109 0.000
La2 0.000 0.144 0.593
Pu1 0.000 0.469 0.771
Zr1 0.000 0.226 0.321
N1 0.000 0.064 0.373
N2 0.000 0.274 0.964
N3 0.000 0.317 0.705
N4 0.000 0.374 0.313
N5 0.000 0.494 0.092
# volume: 15.44 Å³/atom
# Fermi-level density of states: 4.1 states/eV/f.u.
# formation energy from raw total energies: -1.215 eV per atom


Record 16
# AcPmTh (PBE, optimized geometry)
data_AcPmTh
_chemical_formula_sum 'Ac2 Pm2 Th2'
_symmetry_space_group_name_H-M 'P 1 21/m 1'
_symmetry_Int_Tables_number 11
_symmetry_space_group_name_Hall '-P 2yb'
_cell_length_a 3.744
_cell_length_b 5.082
_cell_length_c 11.659
_cell_angle_alpha 90.00
_cell_angle_beta 90.04
_cell_angle_gamma 90.00
loop_
_atom_site_label
_atom_site_fract_x
_atom_site_fract_y
_atom_site_fract_z
Ac1 0.250 0.250 0.100
Pm1 0.251 0.250 0.723
Th1 0.249 0.250 0.426
# volume: 36.97 Å³/atom
# Fermi-level density of states: 4.6 states/eV/f.u.
# energy relative to the lowest polymorph listed for this composition: 0 meV/atom


Record 17
# ZnSbMo (PBE, optimized geometry)
data_ZnSbMo
_chemical_formula_sum 'Zn4 Sb4 Mo4'
_symmetry_space_group_name_H-M 'F -4 3 m'
_symmetry_Int_Tables_number 216
_symmetry_space_group_name_Hall 'F -4 2 3'
_cell_length_a 6.339
_cell_length_b 6.339
_cell_length_c 6.339
_cell_angle_alpha 90.00
_cell_angle_beta 90.00
_cell_angle_gamma 90.00
loop_
_atom_site_label
_atom_site_fract_x
_atom_site_fract_y
_atom_site_fract_z
Zn1 0.000 0.000 0.000
Sb1 0.000 0.000 0.500
Mo1 0.250 0.250 0.750
# volume: 21.23 Å³/atom
# Fermi-level density of states: 2.6 states/eV/f.u.
# formation energy from raw total energies: 0.498 eV per atom
# energy relative to the lowest polymorph listed for this composition: 416 meV/atom


Record 18
# Pr2DyTmSc (PBE, optimized geometry)
data_Pr2DyTmSc
_chemical_formula_sum 'Pr8 Dy4 Tm4 Sc4'
_symmetry_space_group_name_H-M 'C m c m'
_symmetry_Int_Tables_number 63
_symmetry_space_group_name_Hall '-C 2c 2'
_cell_length_a 8.231
_cell_length_b 11.354
_cell_length_c 7.233
_cell_angle_alpha 90.00
_cell_angle_beta 90.00
_cell_angle_gamma 90.00
loop_
_atom_site_label
_atom_site_fract_x
_atom_site_fract_y
_atom_site_fract_z
Pr1 0.200 0.000 0.000
Dy1 0.000 0.231 0.250
Tm1 0.000 0.237 0.750
Sc1 0.000 0.494 0.250
# volume: 33.80 Å³/atom
# Fermi-level density of states: 7.1 states/eV/f.u.
# DFT total energy: -92.17 eV/cell


Record 19
# La2YHg2 (PBE, optimized geometry)
data_La2YHg2
_chemical_formula_sum 'La4 Y2 Hg4'
_symmetry_space_group_name_H-M 'P 4/m b m'
_symmetry_Int_Tables_number 127
_symmetry_space_group_name_Hall '-P 4 2ab'
_cell_length_a 9.026
_cell_length_b 9.026
_cell_length_c 3.802
_cell_angle_alpha 90.00
_cell_angle_beta 90.00
_cell_angle_gamma 90.00
loop_
_atom_site_label
_atom_site_fract_x
_atom_site_fract_y
_atom_site_fract_z
La1 0.150 0.350 0.000
Y1 0.000 0.000 0.000
Hg1 0.149 0.649 0.500
# volume: 30.98 Å³/atom
# Fermi-level density of states: 6.7 states/eV/f.u.
# energy relative to the lowest polymorph listed for this composition: 176 meV/atom


Record 20
# CrAsRu (PBE, optimized geometry)
data_CrAsRu
_chemical_formula_sum 'Cr4 As4 Ru4'
_symmetry_space_group_name_H-M 'F m m 2'
_symmetry_Int_Tables_number 42
_symmetry_space_group_name_Hall 'F 2 -2'
_cell_length_a 2.970
_cell_length_b 4.756
_cell_length_c 12.186
_cell_angle_alpha 90.00
_cell_angle_beta 90.00
_cell_angle_gamma 90.00
loop_
_atom_site_label
_atom_site_fract_x
_atom_site_fract_y
_atom_site_fract_z
Cr1 0.000 0.000 0.000
As1 0.000 0.000 0.661
Ru1 0.000 0.000 0.337
# volume: 14.34 Å³/atom
# Fermi-level density of states: 3.6 states/eV/f.u.
# DFT total energy: -89.33 eV/cell